Entry 1:
## FeAsAu2 (PBEsol)

Data for crystalline FeAsAu2 at its relaxed geometry.

Lattice parameters (Å, degrees): 2.8983 2.8983 8.8011 80.52 80.52 60.00
Element x y z (fractional)
1 As 0.2361 0.2361 0.2916
2 Au 0.0001 0.0001 0.9997
3 Au 0.7585 0.7585 0.7244
4 Fe 0.5052 0.5052 0.4843

total magnetization = 0.49 μB per atom
space-group type = No. 160
crystal system = trigonal
E = -5.3564 eV per atom

Entry 2:
## La2CuTe4 (PBEsol)

Data for crystalline La2CuTe4 at its relaxed geometry.

Lattice parameters (Å, degrees): 6.3447 7.6066 8.4325 90.00 90.00 90.37
Element x y z (fractional)
1 La 0.5042 0.2286 0.9422
2 La 0.9961 0.7618 0.0629
3 La 0.0039 0.2382 0.5629
4 La 0.4958 0.7714 0.4422
5 Cu 0.3008 0.5779 0.7872
6 Cu 0.6992 0.4221 0.2872
7 Te 0.4932 0.3804 0.5854
8 Te 0.9850 0.6232 0.4153
9 Te 0.0150 0.3768 0.9153
10 Te 0.5068 0.6196 0.0854
11 Te 0.2509 0.9107 0.7533
12 Te 0.7491 0.0893 0.2533
13 Te 0.2475 0.0816 0.2517
14 Te 0.7525 0.9184 0.7517

total magnetization = 0.00 μB per atom
space-group type = No. 4
crystal system = monoclinic
E = -5.3284 eV per atom

Entry 3:
## TePtPb2 (PBEsol)

Data for crystalline TePtPb2 at its relaxed geometry.

Lattice parameters (Å, degrees): 4.7926 4.7926 5.4442 116.11 116.11 90.00
Element x y z (fractional)
1 Pb 0.7500 0.2500 0.5000
2 Pb 0.2500 0.7500 0.5000
3 Pt 0.5000 0.5000 0.0000
4 Te 0.0000 0.0000 0.0000

total magnetization = 0.00 μB per atom
space-group type = No. 139
crystal system = tetragonal
E = -4.4911 eV per atom